# Na2CoP2H2O6 PBE with a Hubbard U relaxed
data_Na2CoP2H2O6
_symmetry_space_group_name_H-M 'P 1'
_symmetry_Int_Tables_number 1
_cell_length_a 11.9053
_cell_length_b 5.4079
_cell_length_c 9.0012
_cell_angle_alpha 90.00
_cell_angle_beta 90.00
_cell_angle_gamma 90.00
loop_
_symmetry_equiv_pos_as_xyz
'x,y,z'
loop_
_atom_site_label
_atom_site_type_symbol
_atom_site_fract_x
_atom_site_fract_y
_atom_site_fract_z
_atom_site_occupancy
O1 O 0.2093 0.4874 0.9120 1
O2 O 0.9507 0.0178 0.7173 1
H1 H 0.4372 0.7500 0.5119 1
H2 H 0.9372 0.7500 0.9881 1
Co1 Co 0.6618 0.2500 0.1373 1
O3 O 0.0493 0.9822 0.2827 1
O4 O 0.5493 0.9822 0.2173 1
Na1 Na 0.0941 0.7500 0.7766 1
Na2 Na 0.9059 0.2500 0.2234 1
O5 O 0.7093 0.4874 0.5880 1
O6 O 0.7333 0.2500 0.3464 1
O7 O 0.7667 0.7500 0.8464 1
O8 O 0.8936 0.7500 0.4215 1
P1 P 0.8190 0.7500 0.0024 1
H3 H 0.0829 0.7500 0.5008 1
Na3 Na 0.7824 0.2500 0.8279 1
P2 P 0.3190 0.7500 0.4976 1
O9 O 0.7907 0.5126 0.0880 1
O10 O 0.6064 0.2500 0.9215 1
Co2 Co 0.3382 0.7500 0.8627 1
O11 O 0.9507 0.4822 0.7173 1
Na4 Na 0.2176 0.7500 0.1721 1
P3 P 0.6810 0.2500 0.5024 1
Co3 Co 0.1618 0.2500 0.3627 1
O12 O 0.2333 0.2500 0.1536 1
Co4 Co 0.8382 0.7500 0.6373 1
Na5 Na 0.2824 0.2500 0.6721 1
O13 O 0.3936 0.7500 0.0785 1
O14 O 0.0493 0.5178 0.2827 1
O15 O 0.2093 0.0126 0.9120 1
H4 H 0.5829 0.7500 0.9992 1
H5 H 0.0628 0.2500 0.0119 1
P4 P 0.1810 0.2500 0.9976 1
O16 O 0.2667 0.7500 0.6536 1
O17 O 0.5493 0.5178 0.2173 1
O18 O 0.7093 0.0126 0.5880 1
O19 O 0.4507 0.4822 0.7827 1
P5 P 0.9832 0.2500 0.6286 1
O20 O 0.2907 0.9874 0.4120 1
O21 O 0.2907 0.5126 0.4120 1
H6 H 0.4171 0.2500 0.0008 1
H7 H 0.9171 0.2500 0.4992 1
O22 O 0.7907 0.9874 0.0880 1
H8 H 0.5628 0.2500 0.4881 1
P6 P 0.5168 0.7500 0.1286 1
Na6 Na 0.7176 0.7500 0.3279 1
Na7 Na 0.5941 0.7500 0.7234 1
P7 P 0.4832 0.2500 0.8714 1
O23 O 0.4507 0.0178 0.7827 1
Na8 Na 0.4059 0.2500 0.2766 1
O24 O 0.1064 0.2500 0.5785 1
P8 P 0.0168 0.7500 0.3714 1
# Volume (A^3/atom): 11.14
# Magnetization (μB/f.u.): 3.000
# Electronic total energy (eV/atom): -5.913
# Symmetry: No. 62